(1)
VASP calculation (PBE-GGA) on crystalline BaLa2B at its relaxed geometry.

Structure (POSCAR):
```
BaLa2B
1.0
-4.442 4.442 3.464
4.442 -4.442 3.464
4.442 4.442 -3.464
Ba La B
2 4 2
direct
0.000 0.000 0.000
0.750 0.250 0.500
0.235 0.125 0.610
0.375 0.765 0.890
0.515 0.625 0.390
0.875 0.485 0.110
0.250 0.750 0.500
0.500 0.500 0.000
```

Calculated values
- crystal system = tetragonal
- energy of formation from the pure elements (meV/atom) = 375.7

***

(2)
VASP calculation (PBE-GGA) on crystalline BaLaB at its relaxed geometry.

Structure (POSCAR):
```
BaLaB
1.0
3.922 0.000 0.000
0.000 6.101 0.000
-0.006 0.000 8.624
Ba La B
2 2 2
direct
0.000 0.000 0.000
0.498 0.500 0.322
0.998 0.500 0.734
0.999 0.000 0.545
0.499 0.134 0.738
0.499 0.866 0.738
```

Calculated values
- crystal system = monoclinic
- energy of formation from the pure elements (meV/atom) = 120.7

***

(3)
VASP calculation (PBE-GGA) on crystalline BaLaB at its relaxed geometry.

Structure (POSCAR):
```
BaLaB
1.0
3.364 0.000 0.000
0.000 3.845 0.000
1.648 1.910 14.441
Ba La B
2 2 2
direct
0.068 0.313 0.373
0.932 0.687 0.627
0.309 0.060 0.880
0.691 0.940 0.120
0.242 0.491 0.017
0.758 0.509 0.983
```

Calculated values
- crystal system = triclinic
- energy of formation from the pure elements (meV/atom) = -45.5

***

(4)
VASP calculation (PBE-GGA) on crystalline BaLaBN2 at its relaxed geometry.

Structure (POSCAR):
```
BaLaBN2
1.0
7.700 0.000 0.000
0.000 5.280 0.000
-3.887 0.000 6.702
Ba La B N
2 2 2 4
direct
0.000 0.152 0.250
0.000 0.848 0.750
0.500 0.499 0.750
0.500 0.501 0.250
0.500 0.000 0.000
0.500 0.000 0.500
0.411 0.229 0.455
0.411 0.771 0.955
0.589 0.229 0.045
0.589 0.771 0.545
```

Calculated values
- crystal system = monoclinic
- formation energy from raw total energies (eV per atom) = -0.935

***

(5)
VASP calculation (PBE-GGA) on crystalline Ba3La2B4O12 at its relaxed geometry.

Structure (POSCAR):
```
Ba3La2B4O12
1.0
7.945 0.000 0.000
0.000 16.876 0.000
0.000 0.000 9.060
Ba La B O
12 8 16 48
direct
0.174 0.124 0.156
0.174 0.376 0.156
0.177 0.750 0.032
0.323 0.250 0.532
0.326 0.624 0.656
0.326 0.876 0.656
0.674 0.124 0.344
0.674 0.376 0.344
0.677 0.750 0.468
0.823 0.250 0.968
0.826 0.624 0.844
0.826 0.876 0.844
0.031 0.084 0.670
0.031 0.416 0.670
0.469 0.584 0.170
0.469 0.916 0.170
0.531 0.084 0.830
0.531 0.416 0.830
0.969 0.584 0.330
0.969 0.916 0.330
0.022 0.750 0.608
0.182 0.536 0.952
0.182 0.964 0.952
0.218 0.250 0.860
0.282 0.750 0.360
0.318 0.036 0.452
0.318 0.464 0.452
0.478 0.250 0.108
0.522 0.750 0.892
0.682 0.536 0.548
0.682 0.964 0.548
0.718 0.250 0.640
0.782 0.750 0.140
0.818 0.036 0.048
0.818 0.464 0.048
0.978 0.250 0.392
0.026 0.178 0.457
0.026 0.322 0.457
0.101 0.750 0.744
0.110 0.534 0.812
0.110 0.966 0.812
0.123 0.584 0.064
0.123 0.916 0.064
0.148 0.250 0.997
0.172 0.508 0.478
0.172 0.992 0.478
0.247 0.177 0.789
0.247 0.323 0.789
0.253 0.677 0.289
0.253 0.823 0.289
0.328 0.008 0.978
0.328 0.492 0.978
0.352 0.750 0.497
0.377 0.084 0.564
0.377 0.416 0.564
0.390 0.034 0.312
0.390 0.466 0.312
0.399 0.250 0.244
0.474 0.678 0.957
0.474 0.822 0.957
0.526 0.178 0.043
0.526 0.322 0.043
0.601 0.750 0.756
0.610 0.534 0.688
0.610 0.966 0.688
0.623 0.584 0.436
0.623 0.916 0.436
0.648 0.250 0.503
0.672 0.508 0.022
0.672 0.992 0.022
0.747 0.177 0.711
0.747 0.323 0.711
0.753 0.677 0.211
0.753 0.823 0.211
0.828 0.008 0.522
0.828 0.492 0.522
0.852 0.750 0.003
0.877 0.084 0.936
0.877 0.416 0.936
0.890 0.034 0.188
0.890 0.466 0.188
0.899 0.250 0.256
0.974 0.678 0.543
0.974 0.822 0.543
```

Calculated values
- crystal system = orthorhombic
- formation energy from raw total energies (eV per atom) = -2.913

***

(6)
VASP calculation (PBE-GGA) on crystalline Ba3LaB2O8 at its relaxed geometry.

Structure (POSCAR):
```
Ba3LaB2O8
1.0
5.726 0.000 0.000
-2.863 4.959 0.000
0.000 0.000 7.472
Ba La B O
3 1 2 8
direct
0.000 0.000 0.000
0.333 0.667 0.698
0.667 0.333 0.302
0.000 0.000 0.500
0.333 0.667 0.238
0.667 0.333 0.762
0.190 0.380 0.307
0.190 0.810 0.307
0.333 0.667 0.042
0.380 0.190 0.693
0.620 0.810 0.307
0.667 0.333 0.958
0.810 0.190 0.693
0.810 0.620 0.693
```

Calculated values
- crystal system = trigonal
- formation energy from raw total energies (eV per atom) = -2.651

***

(7)
VASP calculation (PBE-GGA) on crystalline Ba2LaB2S6 at its relaxed geometry.

Structure (POSCAR):
```
Ba2LaB2S6
1.0
5.789 -3.258 0.000
5.789 3.258 0.000
-4.109 0.000 7.337
Ba La B S
2 1 2 6
direct
0.210 0.210 0.206
0.790 0.790 0.794
0.000 0.000 0.500
0.456 0.456 0.743
0.544 0.544 0.257
0.210 0.698 0.190
0.275 0.275 0.637
0.302 0.790 0.810
0.698 0.210 0.190
0.725 0.725 0.363
0.790 0.302 0.810
```

Calculated values
- crystal system = monoclinic
- formation energy from raw total energies (eV per atom) = -1.335

***

(8)
VASP calculation (PBE-GGA) on crystalline Ba2SrLaB at its relaxed geometry.

Structure (POSCAR):
```
Ba2SrLaB
1.0
6.015 0.000 0.000
0.000 6.015 0.000
0.000 0.000 5.892
Ba Sr La B
2 1 1 1
direct
0.000 0.500 0.000
0.500 0.000 0.000
0.000 0.000 0.500
0.500 0.500 0.500
0.000 0.000 0.000
```

Calculated values
- crystal system = tetragonal
- energy of formation from the pure elements (meV/atom) = 551.0

***

(9)
VASP calculation (PBE-GGA) on crystalline BaLaTa2B at its relaxed geometry.

Structure (POSCAR):
```
BaLaTa2B
1.0
5.291 0.000 0.000
0.000 5.291 0.000
0.000 0.000 4.901
Ba La Ta B
1 1 2 1
direct
0.000 0.000 0.000
0.500 0.500 0.500
0.000 0.500 0.000
0.500 0.000 0.000
0.000 0.000 0.500
```

Calculated values
- crystal system = tetragonal
- energy of formation from the pure elements (meV/atom) = 2468.6

***

(10)
VASP calculation (PBE-GGA) on crystalline BaLaZnB2 at its relaxed geometry.

Structure (POSCAR):
```
BaLaZnB2
1.0
4.993 0.000 0.000
0.000 4.993 0.000
0.000 0.000 5.619
Ba La Zn B
1 1 1 2
direct
0.000 0.000 0.000
0.500 0.500 0.500
0.500 0.500 0.000
0.000 0.500 0.500
0.500 0.000 0.500
```

Calculated values
- crystal system = tetragonal
- energy of formation from the pure elements (meV/atom) = 1033.4

***

(11)
VASP calculation (PBE-GGA) on crystalline BaLiB12 at its relaxed geometry.

Structure (POSCAR):
```
BaLiB12
1.0
4.215 0.000 0.000
0.000 4.215 0.000
0.000 0.000 8.407
Ba Li B
1 1 12
direct
0.000 0.000 0.000
0.000 0.000 0.500
0.201 0.500 0.255
0.201 0.500 0.745
0.500 0.201 0.255
0.500 0.201 0.745
0.500 0.500 0.103
0.500 0.500 0.402
0.500 0.500 0.598
0.500 0.500 0.897
0.500 0.799 0.255
0.500 0.799 0.745
0.799 0.500 0.255
0.799 0.500 0.745
```

Calculated values
- crystal system = tetragonal
- energy of formation from the pure elements (meV/atom) = -196.2

***

Number 1: total moment 0.00 μB per atom, density 5.2 g/cm³, volume 137 Å³/f.u.. Number 2: total moment 0.02 μB per atom, density 4.6 g/cm³, volume 103 Å³/f.u.. Number 3: total moment 0.00 μB per atom, density 5.1 g/cm³, volume 93 Å³/f.u.. Number 4: total moment 0.00 μB per atom, density 3.8 g/cm³, volume 136 Å³/f.u.. Number 5: total moment 0.00 μB per atom, density 5.1 g/cm³, volume 304 Å³/f.u.. Number 6: total moment 0.07 μB per atom, density 5.5 g/cm³, volume 212 Å³/f.u.. Number 7: total moment 0.00 μB per atom, density 3.8 g/cm³, volume 277 Å³/f.u.. Number 8: total moment 0.00 μB per atom, density 4.0 g/cm³, volume 213 Å³/f.u.. Number 9: total moment 0.00 μB per atom, density 7.9 g/cm³, volume 137 Å³/f.u.. Number 10: total moment 0.00 μB per atom, density 4.3 g/cm³, volume 140 Å³/f.u.. Number 11: total moment 0.00 μB per atom, density 3.0 g/cm³, volume 149 Å³/f.u..